w.
# Cs2RbAg2 PBEsol optimized geometry
# Mass density ... 4.0 g/cm³
data_Cs2RbAg2
_chemical_formula_sum 'Cs4 Rb2 Ag4'
_cell_length_a 4.6867
_cell_length_b 9.9798
_cell_length_c 9.9798
_cell_angle_alpha 90.00
_cell_angle_beta 90.00
_cell_angle_gamma 90.00
_space_group_name_H-M_alt 'P 1'
_space_group_IT_number 1
loop_
_space_group_symop_operation_xyz
'x,y,z'
loop_
_atom_site_label
_atom_site_type_symbol
_atom_site_fract_x
_atom_site_fract_y
_atom_site_fract_z
Ag1 Ag 0.0000 0.3458 0.8458
Ag2 Ag 0.0000 0.1542 0.3458
Ag3 Ag 0.0000 0.6542 0.1542
Ag4 Ag 0.0000 0.8458 0.6542
Rb1 Rb 0.0000 0.0000 0.0000
Rb2 Rb 0.0000 0.5000 0.5000
Cs1 Cs 0.5000 0.6420 0.8580
Cs2 Cs 0.5000 0.8580 0.3580
Cs3 Cs 0.5000 0.1420 0.6420
Cs4 Cs 0.5000 0.3580 0.1420



x.
# Cs2RbAg2 PBEsol optimized geometry
# Mass density ... 4.0 g/cm³
data_Cs2RbAg2
_chemical_formula_sum 'Cs2 Rb1 Ag2'
_cell_length_a 5.5427
_cell_length_b 5.5427
_cell_length_c 8.5337
_cell_angle_alpha 108.95
_cell_angle_beta 108.95
_cell_angle_gamma 90.00
_space_group_name_H-M_alt 'P 1'
_space_group_IT_number 1
loop_
_space_group_symop_operation_xyz
'x,y,z'
loop_
_atom_site_label
_atom_site_type_symbol
_atom_site_fract_x
_atom_site_fract_y
_atom_site_fract_z
Cs1 Cs 0.2500 0.7500 0.5000
Cs2 Cs 0.7500 0.2500 0.5000
Rb1 Rb 0.0000 0.0000 0.0000
Ag1 Ag 0.4103 0.4103 0.8206
Ag2 Ag 0.5897 0.5897 0.1794



Stability summary - winner: w; margin: 61 meV/atom.



w.
# CuAg2 PBEsol optimized geometry
# Mass density ... 10.4 g/cm³
data_CuAg2
_chemical_formula_sum 'Cu4 Ag8'
_cell_length_a 3.8605
_cell_length_b 5.5670
_cell_length_c 8.3341
_cell_angle_alpha 90.00
_cell_angle_beta 90.00
_cell_angle_gamma 90.00
_space_group_name_H-M_alt 'P 1'
_space_group_IT_number 1
loop_
_space_group_symop_operation_xyz
'x,y,z'
loop_
_atom_site_label
_atom_site_type_symbol
_atom_site_fract_x
_atom_site_fract_y
_atom_site_fract_z
Ag1 Ag 0.7500 0.3639 0.0795
Ag2 Ag 0.7500 0.3880 0.7435
Ag3 Ag 0.2500 0.6120 0.2565
Ag4 Ag 0.2500 0.1120 0.2435
Ag5 Ag 0.2500 0.1361 0.5795
Ag6 Ag 0.2500 0.6361 0.9205
Ag7 Ag 0.7500 0.8880 0.7565
Ag8 Ag 0.7500 0.8639 0.4205
Cu1 Cu 0.2500 0.1244 0.9194
Cu2 Cu 0.2500 0.6244 0.5806
Cu3 Cu 0.7500 0.8756 0.0806
Cu4 Cu 0.7500 0.3756 0.4194



x.
# CuAg2 PBEsol optimized geometry
# Mass density ... 10.3 g/cm³
data_CuAg2
_chemical_formula_sum 'Cu1 Ag2'
_cell_length_a 2.8022
_cell_length_b 2.8022
_cell_length_c 6.6164
_cell_angle_alpha 90.00
_cell_angle_beta 90.00
_cell_angle_gamma 120.00
_space_group_name_H-M_alt 'P 1'
_space_group_IT_number 1
loop_
_space_group_symop_operation_xyz
'x,y,z'
loop_
_atom_site_label
_atom_site_type_symbol
_atom_site_fract_x
_atom_site_fract_y
_atom_site_fract_z
Cu1 Cu 0.0000 0.0000 0.0000
Ag1 Ag 0.3333 0.6667 0.6805
Ag2 Ag 0.6667 0.3333 0.3195



y.
# CuAg2 PBEsol optimized geometry
# Mass density ... 10.4 g/cm³
data_CuAg2
_chemical_formula_sum 'Cu2 Ag4'
_cell_length_a 2.7836
_cell_length_b 4.8856
_cell_length_c 7.1856
_cell_angle_alpha 73.86
_cell_angle_beta 78.83
_cell_angle_gamma 73.45
_space_group_name_H-M_alt 'P 1'
_space_group_IT_number 1
loop_
_space_group_symop_operation_xyz
'x,y,z'
loop_
_atom_site_label
_atom_site_type_symbol
_atom_site_fract_x
_atom_site_fract_y
_atom_site_fract_z
Ag1 Ag 0.1630 0.2630 0.4109
Ag2 Ag 0.8370 0.7370 0.5891
Ag3 Ag 0.4946 0.7910 0.2198
Ag4 Ag 0.5054 0.2090 0.7802
Cu1 Cu 0.8145 0.2869 0.0841
Cu2 Cu 0.1855 0.7131 0.9159



z.
# CuAg2 PBEsol optimized geometry
# Mass density ... 10.4 g/cm³
data_CuAg2
_chemical_formula_sum 'Cu1 Ag2'
_cell_length_a 2.7840
_cell_length_b 2.7840
_cell_length_c 6.0854
_cell_angle_alpha 103.22
_cell_angle_beta 103.22
_cell_angle_gamma 90.00
_space_group_name_H-M_alt 'P 1'
_space_group_IT_number 1
loop_
_space_group_symop_operation_xyz
'x,y,z'
loop_
_atom_site_label
_atom_site_type_symbol
_atom_site_fract_x
_atom_site_fract_y
_atom_site_fract_z
Ag1 Ag 0.3420 0.3420 0.6841
Ag2 Ag 0.6580 0.6580 0.3159
Cu1 Cu 0.0000 0.0000 0.0000



Stability summary - winner: y; margin: 6 meV/atom.